1.
Material: Y2Zn17
Method: DFT, PBEsol
State: relaxed

## Properties
- Magnetization: 0.00 μB per formula unit
- DFT formation energy: -484.7 kJ/mol of formula units
- V: 15.162 Å³ per atom

Unit cell a=8.610 b=8.791 c=8.791 alpha=120.00 beta=90.00 gamma=90.00
Fractional positions:
Zn 0.102 0.667 0.333
Zn 0.898 0.333 0.667
Zn 0.521 0.324 0.162
Zn 0.479 0.676 0.838
Zn 0.479 0.162 0.838
Zn 0.021 0.162 0.838
Zn 0.602 0.333 0.667
Zn 0.000 0.500 0.500
Zn 0.979 0.324 0.162
Zn 0.398 0.667 0.333
Zn 0.000 0.000 0.500
Zn 0.500 0.500 0.000
Zn 0.500 0.000 0.500
Zn 0.750 0.633 0.962
Zn 0.500 0.500 0.500
Zn 0.750 0.329 0.962
Zn 0.750 0.038 0.671
Zn 0.521 0.838 0.162
Zn 0.250 0.671 0.038
Zn 0.750 0.329 0.367
Zn 0.250 0.962 0.633
Zn 0.750 0.633 0.671
Zn 0.979 0.838 0.676
Zn 0.021 0.676 0.838
Zn 0.000 0.500 0.000
Zn 0.979 0.838 0.162
Zn 0.250 0.367 0.038
Zn 0.479 0.162 0.324
Zn 0.250 0.367 0.329
Zn 0.250 0.671 0.633
Zn 0.521 0.838 0.676
Zn 0.021 0.162 0.324
Zn 0.250 0.962 0.329
Zn 0.750 0.038 0.367
Y 0.250 0.000 0.000
Y 0.750 0.000 0.000
Y 0.250 0.333 0.667
Y 0.750 0.667 0.333

***

2.
Material: Be2HIr2
Method: DFT, PBEsol
State: relaxed

## Properties
- Magnetization: 0.00 μB per formula unit
- DFT total energy: -5.660 eV per atom
- V: 10.411 Å³ per atom

Unit cell a=4.149 b=4.149 c=4.149 alpha=93.90 beta=117.78 gamma=117.78
Fractional positions:
Ir 0.500 0.750 0.250
Ir 0.500 0.250 0.750
Be 0.000 0.316 0.316
Be 0.000 0.684 0.684
H 0.000 0.000 0.000

***

3.
Material: MnAl2Br
Method: DFT, PBEsol
State: relaxed

## Properties
- Magnetization: 3.29 μB per formula unit
- Energy above the lowest structure with this stoichiometry: 119 meV per atom
- V: 17.355 Å³ per atom

Unit cell a=3.078 b=4.739 c=4.760 alpha=90.00 beta=90.00 gamma=90.01
Fractional positions:
Al 0.875 0.253 0.500
Al 0.875 0.957 0.000
Mn 0.375 0.782 0.500
Br 0.375 0.508 0.000

***

4.
Material: NaNdSiO4
Method: DFT, PBEsol
State: relaxed

## Properties
- Magnetization: 0.00 μB per formula unit
- DFT total energy: -7.684 eV per atom
- V: 12.638 Å³ per atom

Unit cell a=5.498 b=9.284 c=20.797 alpha=90.00 beta=90.00 gamma=90.00
Fractional positions:
O 0.924 0.558 0.500
O 0.268 0.304 0.746
O 0.229 0.808 0.084
O 0.247 0.854 0.774
O 0.049 0.072 0.109
O 0.037 0.073 0.443
O 0.537 0.927 0.557
O 0.768 0.804 0.754
O 0.729 0.308 0.416
O 0.246 0.158 0.893
O 0.268 0.336 0.076
O 0.572 0.059 0.668
O 0.753 0.189 0.568
O 0.430 0.576 0.726
O 0.549 0.572 0.391
O 0.246 0.342 0.393
O 0.268 0.196 0.246
O 0.924 0.942 0.000
O 0.747 0.354 0.726
O 0.424 0.442 0.500
O 0.753 0.311 0.068
O 0.746 0.842 0.107
O 0.537 0.573 0.057
O 0.037 0.427 0.943
O 0.072 0.559 0.832
O 0.768 0.664 0.924
O 0.729 0.192 0.916
O 0.253 0.689 0.932
O 0.930 0.076 0.774
O 0.049 0.428 0.609
O 0.566 0.440 0.833
O 0.424 0.058 0.000
O 0.768 0.836 0.424
O 0.746 0.658 0.607
O 0.430 0.924 0.226
O 0.930 0.424 0.274
O 0.768 0.696 0.254
O 0.566 0.060 0.333
O 0.549 0.928 0.891
O 0.229 0.692 0.584
O 0.268 0.164 0.576
O 0.247 0.646 0.274
O 0.253 0.811 0.432
O 0.747 0.146 0.226
O 0.066 0.560 0.167
O 0.572 0.441 0.168
O 0.066 0.940 0.667
O 0.072 0.941 0.332
Si 0.494 0.086 0.923
Si 0.994 0.917 0.743
Si 0.494 0.414 0.423
Si 0.994 0.914 0.077
Si 0.528 0.414 0.091
Si 0.994 0.583 0.243
Si 0.494 0.417 0.757
Si 0.028 0.914 0.409
Si 0.528 0.086 0.591
Si 0.494 0.083 0.257
Si 0.994 0.586 0.577
Si 0.028 0.586 0.909
Nd 0.471 0.696 0.167
Nd 0.538 0.696 0.500
Nd 0.489 0.801 0.333
Nd 0.038 0.196 0.000
Nd 0.038 0.304 0.500
Nd 0.471 0.804 0.667
Nd 0.971 0.196 0.333
Nd 0.489 0.699 0.833
Nd 0.989 0.301 0.167
Nd 0.989 0.199 0.667
Nd 0.538 0.804 0.000
Nd 0.971 0.304 0.833
Na 0.982 0.575 0.722
Na 0.495 0.073 0.110
Na 0.044 0.568 0.055
Na 0.044 0.932 0.555
Na 0.482 0.075 0.778
Na 0.495 0.427 0.610
Na 0.482 0.425 0.278
Na 0.995 0.927 0.890
Na 0.544 0.068 0.445
Na 0.544 0.432 0.945
Na 0.982 0.925 0.222
Na 0.995 0.573 0.390